[1]
Below is crystalline Ca8Ga2Ag at its relaxed geometry, with properties calculated at the PBE level.

Energy above the lowest structure with this stoichiometry = 77 meV per atom

Unit cell a=3.9207 b=9.6825 c=20.0099 alpha=90.00 beta=90.00 gamma=90.00
With the nearest neighbours (Å) after each atom.
Space group Immm (No. 71)
Unique sites:
Ca1 0.0000 0.0000 0.1238 (multiplicity 4)  2 Ga 3.06, 2 Ag 3.16
Ca2 0.0000 0.1861 0.3228 (multiplicity 8)  3 Ga 3.13-3.30
Ca3 0.0000 0.2890 0.0000 (multiplicity 4)  2 Ag 3.42, 2 Ca 3.74
Ga1 0.0000 0.5000 0.2590 (multiplicity 4)  8 Ca 3.06-3.30
Ag1 0.0000 0.5000 0.5000 (multiplicity 2)  8 Ca 3.16-3.42

=====

[2]
Below is crystalline Ca3Ga4Ag2 at its relaxed geometry, with properties calculated at the PBE level.

Unit cell a=10.8556 b=4.5795 c=8.7919 alpha=90.00 beta=113.64 gamma=90.00
With the nearest neighbours (Å) after each atom.
Space group C2/m (No. 12)
Unique sites:
Ca1 0.0000 0.0000 0.0000 (multiplicity 2)  8 Ga 3.12-3.34, 4 Ag 3.12
Ca2 0.1793 0.5000 0.6511 (multiplicity 4)  7 Ga 3.12-3.33, 4 Ag 3.15-3.33
Ga1 0.0204 0.0000 0.3640 (multiplicity 4)  1 Ga 2.60, 2 Ag 2.68
Ga2 0.2415 0.5000 0.0760 (multiplicity 4)  2 Ga 2.69, 1 Ag 2.73
Ag1 0.0933 0.5000 0.2636 (multiplicity 4)  3 Ga 2.68-2.73

=====

[3]
Below is crystalline Ca4Ga2Ag at its relaxed geometry, with properties calculated at the PBE level.

Unit cell a=5.2045 b=5.2045 c=25.4805 alpha=90.00 beta=90.00 gamma=120.00
With the nearest neighbours (Å) after each atom.
Space group R-3m (No. 166, hexagonal axes)
Unique sites:
Ca1 0.0000 0.0000 0.1239 (multiplicity 6)  4 Ga 3.16, 3 Ag 3.20
Ca2 0.0000 0.0000 0.3744 (multiplicity 6)  1 Ag 3.20, 4 Ga 3.21-3.22
Ga1 0.0000 0.0000 0.2480 (multiplicity 6)  8 Ca 3.16-3.22
Ag1 0.0000 0.0000 0.5000 (multiplicity 3)  8 Ca 3.20

=====

[4]
Below is crystalline Ca3Ga3Ag2 at its relaxed geometry, with properties calculated at the PBE level.

Unit cell a=8.2472 b=15.7344 c=5.9271 alpha=90.00 beta=90.00 gamma=90.00
With the nearest neighbours (Å) after each atom.
Space group Pnma (No. 62)
Unique sites:
Ca1 0.0406 0.1081 0.1243 (multiplicity 8)  3 Ag 3.14-3.26, 7 Ga 3.18-3.49
Ca2 0.1838 0.2500 0.6179 (multiplicity 4)  5 Ga 3.17-3.33, 4 Ag 3.25-3.26
Ga1 0.1672 0.7500 0.6253 (multiplicity 4)  2 Ag 2.70
Ga2 0.1890 0.0386 0.6055 (multiplicity 8)  3 Ag 2.63-2.74
Ag1 0.1029 0.6080 0.3854 (multiplicity 8)  4 Ga 2.63-2.74

=====

| no. | total moment (μB/cell) | final energy (eV/atom) |
| --- | --- | --- |
| 1 | 0.00 | -2.44 |
| 2 | 0.00 | -3.09 |
| 3 | 0.00 | -2.72 |
| 4 | 0.00 | -2.97 |